# PBE Sm2AlNi, relaxed
# - energy above the lowest structure with this stoichiometry (meV/atom) = 0
# - E_tot (eV/atom) = -5.0554
# - DOS at the Fermi energy (states/eV/f.u.) = 2.99
# - ρ (g/cm³) = 7.05
data_Sm2AlNi
_space_group_name_H-M_alt 'P 4/m m m'
_space_group_IT_number 123
_space_group_name_Hall '-P 4 2'
_cell_length_a 3.508
_cell_length_b 3.508
_cell_length_c 7.397
_cell_angle_alpha 90.00
_cell_angle_beta 90.00
_cell_angle_gamma 90.00
loop_
_atom_site_label
_atom_site_fract_x
_atom_site_fract_y
_atom_site_fract_z
Sm1 0.000 0.000 0.228
Al1 0.500 0.500 0.500
Ni1 0.500 0.500 0.000



# PBE PrNdDy2Y2, relaxed
# - E_tot (eV/atom) = -5.0139
# - DOS at the Fermi energy (states/eV/f.u.) = 10.09
# - ρ (g/cm³) = 6.41
data_PrNdDy2Y2
_space_group_name_H-M_alt 'P n n m'
_space_group_IT_number 58
_space_group_name_Hall '-P 2 2n'
_cell_length_a 6.618
_cell_length_b 17.986
_cell_length_c 3.431
_cell_angle_alpha 90.00
_cell_angle_beta 90.00
_cell_angle_gamma 90.00
loop_
_atom_site_label
_atom_site_fract_x
_atom_site_fract_y
_atom_site_fract_z
Pr1 0.000 0.000 0.000
Nd1 0.000 0.500 0.000
Dy1 0.223 0.351 0.500
Y1 0.224 0.186 0.000



# PBE CdPd8Pt3, relaxed
# - energy above the lowest structure with this stoichiometry (meV/atom) = 0
# - E_tot (eV/atom) = -5.1406
# - DOS at the Fermi energy (states/eV/f.u.) = 24.82
# - ρ (g/cm³) = 13.63
data_CdPd8Pt3
_space_group_name_H-M_alt 'P 1'
_space_group_IT_number 1
_space_group_name_Hall 'P 1'
_cell_length_a 4.850
_cell_length_b 4.884
_cell_length_c 8.889
_cell_angle_alpha 100.71
_cell_angle_beta 100.49
_cell_angle_gamma 109.12
loop_
_atom_site_label
_atom_site_fract_x
_atom_site_fract_y
_atom_site_fract_z
Cd1 0.000 0.000 0.000
Pd1 0.084 0.584 0.168
Pd2 0.169 0.169 0.338
Pd3 0.335 0.335 0.670
Pd4 0.415 0.914 0.828
Pd5 0.500 0.500 0.000
Pd6 0.584 0.085 0.170
Pd7 0.751 0.251 0.501
Pd8 0.830 0.830 0.659
Pt1 0.248 0.748 0.496
Pt2 0.665 0.666 0.332
Pt3 0.915 0.415 0.831



# PBE Fe3Ge, relaxed
# - E_tot (eV/atom) = -7.6019
# - DOS at the Fermi energy (states/eV/f.u.) = 3.01
# - ρ (g/cm³) = 8.48
data_Fe3Ge
_space_group_name_H-M_alt 'F m -3 m'
_space_group_IT_number 225
_space_group_name_Hall '-F 4 2 3'
_cell_length_a 5.729
_cell_length_b 5.729
_cell_length_c 5.729
_cell_angle_alpha 90.00
_cell_angle_beta 90.00
_cell_angle_gamma 90.00
loop_
_atom_site_label
_atom_site_fract_x
_atom_site_fract_y
_atom_site_fract_z
Fe1 0.000 0.000 0.000
Fe2 0.250 0.250 0.250
Ge1 0.000 0.000 0.500



# PBE CaMnCr4, relaxed
# - E_tot (eV/atom) = -7.6956
# - DOS at the Fermi energy (states/eV/f.u.) = 6.36
# - ρ (g/cm³) = 5.83
data_CaMnCr4
_space_group_name_H-M_alt 'F -4 3 m'
_space_group_IT_number 216
_space_group_name_Hall 'F -4 2 3'
_cell_length_a 7.014
_cell_length_b 7.014
_cell_length_c 7.014
_cell_angle_alpha 90.00
_cell_angle_beta 90.00
_cell_angle_gamma 90.00
loop_
_atom_site_label
_atom_site_fract_x
_atom_site_fract_y
_atom_site_fract_z
Ca1 0.000 0.000 0.000
Mn1 0.250 0.250 0.250
Cr1 0.125 0.125 0.625



# PBE Tm3Zn3Cu, relaxed
# - E_tot (eV/atom) = -3.3513
# - DOS at the Fermi energy (states/eV/f.u.) = 6.69
# - ρ (g/cm³) = 8.69
data_Tm3Zn3Cu
_space_group_name_H-M_alt 'I m m 2'
_space_group_IT_number 44
_space_group_name_Hall 'I 2 -2'
_cell_length_a 3.594
_cell_length_b 4.386
_cell_length_c 18.576
_cell_angle_alpha 90.00
_cell_angle_beta 90.00
_cell_angle_gamma 90.00
loop_
_atom_site_label
_atom_site_fract_x
_atom_site_fract_y
_atom_site_fract_z
Tm1 0.000 0.000 0.000
Tm2 0.000 0.000 0.383
Tm3 0.000 0.500 0.198
Zn1 0.000 0.000 0.554
Zn2 0.000 0.000 0.834
Zn3 0.000 0.500 0.629
Cu1 0.000 0.500 0.761



# PBE HoTl2Zn3F12, relaxed
# - E_tot (eV/atom) = -4.4449
# - DOS at the Fermi energy (states/eV/f.u.) = 6.02
# - ρ (g/cm³) = 6.46
data_HoTl2Zn3F12
_space_group_name_H-M_alt 'R -3 m'
_space_group_IT_number 166
_space_group_name_Hall '-R 3 2"'
_cell_length_a 7.5650
_cell_length_b 7.5650
_cell_length_c 15.5319
_cell_angle_alpha 90.00
_cell_angle_beta 90.00
_cell_angle_gamma 120.00
loop_
_atom_site_label
_atom_site_fract_x
_atom_site_fract_y
_atom_site_fract_z
Ho1 0.0000 0.0000 0.0000
Tl1 0.0000 0.0000 0.3926
Zn1 0.0000 0.5000 0.5000
F1 0.0467 0.5233 0.3711
F2 0.0983 0.5492 0.7931



# PBE K2AlCdSe4, relaxed
# - E_tot (eV/atom) = -3.4529
# - DOS at the Fermi energy (states/eV/f.u.) = 10.44
# - ρ (g/cm³) = 3.90
data_K2AlCdSe4
_space_group_name_H-M_alt 'I -4 2 m'
_space_group_IT_number 121
_space_group_name_Hall 'I -4 2'
_cell_length_a 8.023
_cell_length_b 8.023
_cell_length_c 7.064
_cell_angle_alpha 90.00
_cell_angle_beta 90.00
_cell_angle_gamma 90.00
loop_
_atom_site_label
_atom_site_fract_x
_atom_site_fract_y
_atom_site_fract_z
K1 0.000 0.500 0.000
Al1 0.000 0.000 0.000
Cd1 0.000 0.000 0.500
Se1 0.163 0.163 0.776



| no. | magnetic moment (μB/cell) |
| --- | --- |
| 1 | 0.00 |
| 2 | 0.00 |
| 3 | 0.00 |
| 4 | 20.76 |
| 5 | 2.94 |
| 6 | 0.00 |
| 7 | 0.00 |
| 8 | 0.70 |